{"formula": "Zn2TeOs", "functional": "PBE", "state": "optimized geometry", "energy_ev_per_cell": -29.73, "e_form_raw_mev_per_atom": 513, "lattice": [[5.427, 0.000, 0.000], [0.000, 7.995, 0.000], [0.000, 0.000, 3.144]], "species": ["Zn", "Zn", "Zn", "Zn", "Te", "Te", "Os", "Os"], "frac_coords": [[0.250, 0.250, 0.000], [0.250, 0.750, 0.000], [0.750, 0.250, 0.000], [0.750, 0.750, 0.000], [0.000, 0.000, 0.500], [0.500, 0.500, 0.500], [0.000, 0.500, 0.500], [0.500, 0.000, 0.500]]}

{"formula": "TlGa2Pd", "functional": "PBE", "state": "optimized geometry", "de_polymorph_mev_per_atom": 213, "energy_ev_per_cell": -54.05, "formation_enthalpy_0k_ev_per_atom": 0.0253, "lattice": [[6.822, 0.000, 0.000], [0.000, 6.822, 0.000], [0.000, 0.000, 6.822]], "species": ["Tl", "Tl", "Tl", "Tl", "Ga", "Ga", "Ga", "Ga", "Ga", "Ga", "Ga", "Ga", "Pd", "Pd", "Pd", "Pd"], "frac_coords": [[0.000, 0.000, 0.000], [0.000, 0.500, 0.500], [0.500, 0.000, 0.500], [0.500, 0.500, 0.000], [0.250, 0.250, 0.250], [0.250, 0.250, 0.750], [0.250, 0.750, 0.250], [0.250, 0.750, 0.750], [0.750, 0.250, 0.250], [0.750, 0.250, 0.750], [0.750, 0.750, 0.250], [0.750, 0.750, 0.750], [0.000, 0.000, 0.500], [0.000, 0.500, 0.000], [0.500, 0.000, 0.000], [0.500, 0.500, 0.500]]}

{"formula": "Tm8CuBi2", "functional": "PBE", "state": "optimized geometry", "energy_ev_per_cell": -50.55, "formation_enthalpy_0k_ev_per_atom": -0.2657, "lattice": [[8.891, -2.533, 0.000], [8.891, 2.533, 0.000], [-0.303, 0.000, 6.763]], "species": ["Tm", "Tm", "Tm", "Tm", "Tm", "Tm", "Tm", "Tm", "Cu", "Bi", "Bi"], "frac_coords": [[0.028, 0.028, 0.256], [0.213, 0.213, 0.132], [0.350, 0.350, 0.596], [0.410, 0.410, 0.072], [0.590, 0.590, 0.928], [0.650, 0.650, 0.404], [0.787, 0.787, 0.868], [0.972, 0.972, 0.744], [0.500, 0.500, 0.500], [0.168, 0.168, 0.670], [0.832, 0.832, 0.330]]}

{"formula": "Nd3Y2Ag2", "functional": "PBE", "state": "optimized geometry", "de_polymorph_mev_per_atom": 0, "energy_ev_per_cell": -67.56, "formation_enthalpy_0k_ev_per_atom": -0.1206, "lattice": [[13.024, 0.000, 0.000], [0.000, 3.815, 0.000], [-3.938, 0.000, 8.481]], "species": ["Nd", "Nd", "Nd", "Nd", "Nd", "Nd", "Y", "Y", "Y", "Y", "Ag", "Ag", "Ag", "Ag"], "frac_coords": [[0.000, 0.000, 0.000], [0.110, 0.000, 0.445], [0.390, 0.500, 0.555], [0.500, 0.500, 0.000], [0.610, 0.500, 0.445], [0.890, 0.000, 0.555], [0.149, 0.500, 0.813], [0.351, 0.000, 0.187], [0.649, 0.000, 0.813], [0.851, 0.500, 0.187], [0.175, 0.500, 0.221], [0.325, 0.000, 0.779], [0.675, 0.000, 0.221], [0.825, 0.500, 0.779]]}

{"formula": "Dy2ErSc4", "functional": "PBE", "state": "optimized geometry", "de_polymorph_mev_per_atom": 3, "energy_ev_per_cell": -75.71, "formation_enthalpy_0k_ev_per_atom": 0.1766, "lattice": [[10.578, 0.000, 0.000], [0.000, 11.015, 0.000], [0.000, 0.000, 3.366]], "species": ["Dy", "Dy", "Dy", "Dy", "Er", "Er", "Sc", "Sc", "Sc", "Sc", "Sc", "Sc", "Sc", "Sc"], "frac_coords": [[0.196, 0.000, 0.000], [0.304, 0.500, 0.000], [0.696, 0.500, 0.000], [0.804, 0.000, 0.000], [0.000, 0.500, 0.500], [0.500, 0.000, 0.500], [0.000, 0.230, 0.000], [0.000, 0.770, 0.000], [0.250, 0.250, 0.500], [0.250, 0.750, 0.500], [0.500, 0.270, 0.000], [0.500, 0.730, 0.000], [0.750, 0.250, 0.500], [0.750, 0.750, 0.500]]}

{"formula": "NaZr2Br8", "functional": "PBE", "state": "optimized geometry", "de_polymorph_mev_per_atom": 0, "energy_ev_per_cell": -45.72, "e_form_raw_mev_per_atom": -1266, "lattice": [[6.365, -5.617, 0.000], [6.365, 5.617, 0.000], [-0.166, 0.000, 7.077]], "species": ["Na", "Zr", "Zr", "Br", "Br", "Br", "Br", "Br", "Br", "Br", "Br"], "frac_coords": [[0.000, 0.000, 0.000], [0.218, 0.218, 0.623], [0.782, 0.782, 0.377], [0.058, 0.706, 0.241], [0.198, 0.198, 0.265], [0.294, 0.942, 0.759], [0.403, 0.403, 0.748], [0.597, 0.597, 0.252], [0.706, 0.058, 0.241], [0.802, 0.802, 0.735], [0.942, 0.294, 0.759]]}

{"formula": "CaPr2Hf", "functional": "PBE", "state": "optimized geometry", "de_polymorph_mev_per_atom": 303, "energy_ev_per_cell": -59.11, "formation_enthalpy_0k_ev_per_atom": 0.4528, "lattice": [[3.409, 0.000, 0.000], [-1.705, 2.952, 0.000], [0.000, 0.000, 38.266]], "species": ["Ca", "Ca", "Ca", "Pr", "Pr", "Pr", "Pr", "Pr", "Pr", "Hf", "Hf", "Hf"], "frac_coords": [[0.000, 0.000, 0.000], [0.333, 0.667, 0.667], [0.667, 0.333, 0.333], [0.000, 0.000, 0.419], [0.000, 0.000, 0.581], [0.333, 0.667, 0.086], [0.333, 0.667, 0.247], [0.667, 0.333, 0.753], [0.667, 0.333, 0.914], [0.000, 0.000, 0.500], [0.333, 0.667, 0.167], [0.667, 0.333, 0.833]]}

{"formula": "Zr2HgBr4", "functional": "PBE", "state": "optimized geometry", "energy_ev_per_cell": -63.23, "e_form_raw_mev_per_atom": -1075, "lattice": [[21.762, 0.000, 0.000], [0.000, 3.501, 0.000], [-1.348, 0.000, 6.368]], "species": ["Zr", "Zr", "Zr", "Zr", "Hg", "Hg", "Br", "Br", "Br", "Br", "Br", "Br", "Br", "Br"], "frac_coords": [[0.248, 0.000, 0.194], [0.252, 0.500, 0.806], [0.748, 0.500, 0.194], [0.752, 0.000, 0.806], [0.000, 0.500, 0.500], [0.500, 0.000, 0.500], [0.154, 0.500, 0.012], [0.176, 0.000, 0.525], [0.324, 0.500, 0.475], [0.346, 0.000, 0.988], [0.654, 0.000, 0.012], [0.676, 0.500, 0.525], [0.824, 0.000, 0.475], [0.846, 0.500, 0.988]]}

{"formula": "NaSrTl2Cl5", "functional": "PBE", "state": "optimized geometry", "energy_ev_per_cell": -63.78, "e_form_raw_mev_per_atom": -1658, "lattice": [[2.200, -9.093, 0.000], [2.200, 9.093, 0.000], [0.000, 0.000, 14.333]], "species": ["Na", "Na", "Sr", "Sr", "Tl", "Tl", "Tl", "Tl", "Cl", "Cl", "Cl", "Cl", "Cl", "Cl", "Cl", "Cl", "Cl", "Cl"], "frac_coords": [[0.034, 0.966, 0.500], [0.966, 0.034, 0.000], [0.280, 0.720, 0.074], [0.720, 0.280, 0.574], [0.367, 0.633, 0.352], [0.415, 0.585, 0.716], [0.585, 0.415, 0.216], [0.633, 0.367, 0.852], [0.008, 0.992, 0.821], [0.123, 0.877, 0.042], [0.193, 0.807, 0.446], [0.229, 0.771, 0.710], [0.438, 0.562, 0.101], [0.562, 0.438, 0.601], [0.771, 0.229, 0.210], [0.807, 0.193, 0.946], [0.877, 0.123, 0.542], [0.992, 0.008, 0.321]]}

{"formula": "BeAg2Pb", "functional": "PBE", "state": "optimized geometry", "de_polymorph_mev_per_atom": 60, "energy_ev_per_cell": -24.09, "formation_enthalpy_0k_ev_per_atom": 0.2725, "lattice": [[3.105, 0.000, 0.000], [0.000, 3.857, 0.000], [0.000, 0.000, 13.172]], "species": ["Be", "Be", "Ag", "Ag", "Ag", "Ag", "Pb", "Pb"], "frac_coords": [[0.000, 0.000, 0.000], [0.500, 0.500, 0.500], [0.000, 0.000, 0.515], [0.000, 0.500, 0.352], [0.500, 0.000, 0.852], [0.500, 0.500, 0.015], [0.000, 0.500, 0.703], [0.500, 0.000, 0.203]]}

{"formula": "CaPtSe", "functional": "PBE", "state": "optimized geometry", "energy_ev_per_cell": -29.38, "e_form_raw_mev_per_atom": -1055, "lattice": [[4.842, 0.000, 0.000], [0.000, 5.919, 0.000], [-1.415, 0.000, 4.651]], "species": ["Ca", "Ca", "Pt", "Pt", "Se", "Se"], "frac_coords": [[0.000, 0.000, 0.000], [0.322, 0.500, 0.670], [0.692, 0.250, 0.366], [0.692, 0.750, 0.366], [0.404, 0.000, 0.589], [0.911, 0.500, 0.076]]}

{"formula": "ZnSnPtO6", "functional": "PBE", "state": "optimized geometry", "energy_ev_per_cell": -97.51, "e_form_raw_mev_per_atom": -854, "lattice": [[5.318, 0.000, 0.000], [-2.659, 4.605, 0.000], [0.000, 0.000, 8.711]], "species": ["Zn", "Zn", "Sn", "Sn", "Pt", "Pt", "O", "O", "O", "O", "O", "O", "O", "O", "O", "O", "O", "O"], "frac_coords": [[0.000, 0.000, 0.000], [0.000, 0.000, 0.500], [0.333, 0.667, 0.250], [0.667, 0.333, 0.750], [0.333, 0.667, 0.750], [0.667, 0.333, 0.250], [0.015, 0.357, 0.626], [0.015, 0.658, 0.874], [0.342, 0.357, 0.874], [0.342, 0.985, 0.626], [0.357, 0.015, 0.126], [0.357, 0.342, 0.374], [0.643, 0.658, 0.626], [0.643, 0.985, 0.874], [0.658, 0.015, 0.374], [0.658, 0.643, 0.126], [0.985, 0.342, 0.126], [0.985, 0.643, 0.374]]}

{"formula": "SmBe3Cu10", "functional": "PBE", "state": "optimized geometry", "energy_ev_per_cell": -112.83, "formation_enthalpy_0k_ev_per_atom": 0.0318, "lattice": [[0.000, 5.656, 5.656], [5.656, 0.000, 5.656], [5.656, 5.656, 0.000]], "species": ["Sm", "Sm", "Be", "Be", "Be", "Be", "Be", "Be", "Cu", "Cu", "Cu", "Cu", "Cu", "Cu", "Cu", "Cu", "Cu", "Cu", "Cu", "Cu", "Cu", "Cu", "Cu", "Cu", "Cu", "Cu", "Cu", "Cu"], "frac_coords": [[0.250, 0.250, 0.250], [0.750, 0.750, 0.750], [0.237, 0.237, 0.763], [0.237, 0.763, 0.237], [0.237, 0.763, 0.763], [0.763, 0.237, 0.237], [0.763, 0.237, 0.763], [0.763, 0.763, 0.237], [0.110, 0.110, 0.110], [0.110, 0.110, 0.670], [0.110, 0.670, 0.110], [0.156, 0.500, 0.500], [0.156, 0.500, 0.844], [0.156, 0.844, 0.500], [0.330, 0.890, 0.890], [0.500, 0.156, 0.500], [0.500, 0.156, 0.844], [0.500, 0.500, 0.156], [0.500, 0.500, 0.844], [0.500, 0.844, 0.156], [0.500, 0.844, 0.500], [0.670, 0.110, 0.110], [0.844, 0.156, 0.500], [0.844, 0.500, 0.156], [0.844, 0.500, 0.500], [0.890, 0.330, 0.890], [0.890, 0.890, 0.330], [0.890, 0.890, 0.890]]}